No. 1
Density functional theory data (SCAN) for TePbBr at its PBEsol-relaxed geometry.

Cell lengths 3.5842, 3.5842, 14.3118 Å; angles 90.00, 90.00, 90.00 degrees
Space group I4mm (No. 107)
Asymmetric unit:
Te 0.0000 0.0000 0.0000 (multiplicity 2)
Pb 0.0000 0.0000 0.6551 (multiplicity 2)
Br 0.0000 0.0000 0.2825 (multiplicity 2)

**Raw formation energy**: -86 kJ/mol of formula units
**Size of the total moment**: 0.000 Bohr magnetons per cell
**Calculated total energy**: -44.460 eV/atom

No. 2
Density functional theory data (SCAN) for Te2PbBr at its PBEsol-relaxed geometry.

Cell lengths 3.3713, 3.3713, 33.6910 Å; angles 90.00, 90.00, 120.00 degrees
Space group R-3m (No. 166, hexagonal axes)
Asymmetric unit:
Te 0.0000 0.0000 0.0917 (multiplicity 6)
Pb 0.0000 0.0000 0.0000 (multiplicity 3)
Br 0.0000 0.0000 0.5000 (multiplicity 3)

**Raw formation energy**: 71 kJ/mol of formula units
**Size of the total moment**: 0.000 Bohr magnetons per cell
**Calculated total energy**: -42.253 eV/atom
**ΔE to the lowest computed polymorph**: 43.8 kJ per mole of atoms

No. 3
Density functional theory data (SCAN) for TePbBr2 at its PBEsol-relaxed geometry.

Cell lengths 3.7944, 3.7944, 7.9825 Å; angles 90.00, 90.00, 90.00 degrees
Space group P4mm (No. 99)
Asymmetric unit:
Te 0.0000 0.0000 0.0000 (multiplicity 1)
Pb 0.5000 0.5000 0.7372 (multiplicity 1)
Br 0.0000 0.0000 0.5361 (multiplicity 1)
Br 0.5000 0.5000 0.2079 (multiplicity 1)

**Raw formation energy**: -60 kJ/mol of formula units
**Size of the total moment**: 0.000 Bohr magnetons per cell
**Calculated total energy**: -38.144 eV/atom
**ΔE to the lowest computed polymorph**: 0.0 kJ per mole of atoms

No. 4
Density functional theory data (SCAN) for TePbBr2 at its PBEsol-relaxed geometry.

Cell lengths 7.5900, 7.5900, 7.5900 Å; angles 90.00, 90.00, 90.00 degrees
Space group Fm-3m (No. 225)
Asymmetric unit:
Te 0.0000 0.0000 0.0000 (multiplicity 4)
Pb 0.0000 0.0000 0.5000 (multiplicity 4)
Br 0.2500 0.2500 0.2500 (multiplicity 8)

**Raw formation energy**: -17 kJ/mol of formula units
**Size of the total moment**: 7.832 Bohr magnetons per cell
**Calculated total energy**: -38.033 eV/atom
**ΔE to the lowest computed polymorph**: 10.7 kJ per mole of atoms

No. 5
Density functional theory data (SCAN) for TePb2Br at its PBEsol-relaxed geometry.

Cell lengths 3.8647, 3.8647, 7.7330 Å; angles 90.00, 90.00, 90.00 degrees
Space group P4/mmm (No. 123)
Asymmetric unit:
Te 0.0000 0.0000 0.0000 (multiplicity 1)
Pb 0.5000 0.5000 0.2338 (multiplicity 2)
Br 0.0000 0.0000 0.5000 (multiplicity 1)

**Raw formation energy**: -138 kJ/mol of formula units
**Size of the total moment**: 0.000 Bohr magnetons per cell
**Calculated total energy**: -52.426 eV/atom

No. 6
Density functional theory data (SCAN) for TePbBr2 at its PBEsol-relaxed geometry.

Cell lengths 4.8648, 4.8648, 4.5624 Å; angles 90.00, 90.00, 90.00 degrees
Space group P4/mmm (No. 123)
Asymmetric unit:
Te 0.0000 0.0000 0.0000 (multiplicity 1)
Pb 0.5000 0.5000 0.0000 (multiplicity 1)
Br 0.0000 0.5000 0.5000 (multiplicity 2)

**Raw formation energy**: -41 kJ/mol of formula units
**Size of the total moment**: 0.000 Bohr magnetons per cell
**Calculated total energy**: -38.093 eV/atom
**ΔE to the lowest computed polymorph**: 4.9 kJ per mole of atoms